A PBEsol-optimized structure of MnBeCd4, computed with meta-GGA SCAN.

Output
Symmetry   No. 216
Energy of formation from the pure elements   44.5 kJ per mole of atoms

Cell: 5.4614 5.4614 5.4614 Å, 60.00 60.00 60.00°
Site moments in Bohr magnetons follow the coordinates.
Fractional positions:
Be 0.0000 0.0000 0.0000  -0.01
Cd 0.3751 0.3751 0.3751  -0.04
Cd 0.3751 0.3751 0.8746  -0.04
Cd 0.8746 0.3751 0.3751  -0.04
Cd 0.3751 0.8746 0.3751  -0.04
Mn 0.7500 0.7500 0.7500  4.26